DFT (GGA-PBE) results for PuCuHg after structural relaxation.

The energy relative to the elements comes out at 0.132 eV/atom. The crystal system is cubic. Its density of states at the Fermi level is 15.704 states/eV/cell.

Unit cell a=4.6938 b=4.6938 c=4.6938 alpha=60.00 beta=60.00 gamma=60.00
Last column: nearest neighbours and their distance in Å.
Fractional positions:
1 Hg 0.0000 0.0000 0.0000  4 Cu 2.87
2 Cu 0.2500 0.2500 0.2500  4 Hg 2.87, 4 Pu 2.87
3 Pu 0.5000 0.5000 0.5000  4 Cu 2.87

DFT (GGA-PBE) results for PaCuN2 after structural relaxation.

As for the uncorrected formation energy: -0.783 eV/atom. The calculation puts the energy above the lowest structure with this stoichiometry at 275 meV per atom. The crystal system is trigonal.

Unit cell a=3.5796 b=3.5796 c=5.1133 alpha=69.51 beta=69.51 gamma=60.00
Last column: nearest neighbours and their distance in Å.
Fractional positions:
1 Cu 0.5000 0.5000 0.5000  6 N 2.44
2 N 0.7407 0.7407 0.7780  3 Pa 2.31, 3 Cu 2.44
3 N 0.2593 0.2593 0.2220  3 Pa 2.31, 3 Cu 2.44
4 Pa 0.0000 0.0000 0.0000  6 N 2.31

DFT (GGA-PBE) results for TiFeBr2 after structural relaxation.

As for the uncorrected formation energy: 0.454 eV/atom. The calculation puts the energy above the lowest structure with this stoichiometry at 459 meV per atom. The crystal system is cubic. Its density of states at the Fermi level is 4.788 states/eV/cell.

Unit cell a=4.5026 b=4.5026 c=4.5026 alpha=60.00 beta=60.00 gamma=60.00
Last column: nearest neighbours and their distance in Å.
Fractional positions:
1 Fe 0.5000 0.5000 0.5000  8 Br 2.76
2 Br 0.2500 0.2500 0.2500  4 Fe 2.76, 4 Ti 2.76
3 Br 0.7500 0.7500 0.7500  4 Fe 2.76, 4 Ti 2.76
4 Ti 0.0000 0.0000 0.0000  8 Br 2.76

DFT (GGA-PBE) results for Na2ZnCl after structural relaxation.

As for the uncorrected formation energy: -0.497 eV/atom. The calculation puts the energy above the lowest structure with this stoichiometry at 90 meV per atom. The crystal system is cubic. Its density of states at the Fermi level is 1.803 states/eV/cell.

Unit cell a=5.2471 b=5.2471 c=5.2471 alpha=60.00 beta=60.00 gamma=60.00
Last column: nearest neighbours and their distance in Å.
Fractional positions:
1 Na 0.2500 0.2500 0.2500  4 Zn 3.21, 4 Cl 3.21
2 Na 0.7500 0.7500 0.7500  4 Zn 3.21, 4 Cl 3.21
3 Zn 0.5000 0.5000 0.5000  8 Na 3.21
4 Cl 0.0000 0.0000 0.0000  8 Na 3.21

DFT (GGA-PBE) results for B2SbP after structural relaxation.

As for the uncorrected formation energy: 0.039 eV/atom. The crystal system is tetragonal. Its density of states at the Fermi level is 0.000 states/eV/cell.

Unit cell a=4.9200 b=4.9200 c=5.9663 alpha=65.65 beta=65.65 gamma=90.00
Last column: nearest neighbours and their distance in Å.
Fractional positions:
1 B 0.8750 0.8236 0.7500  2 P 1.98
2 B 0.5736 0.1250 0.2500  2 P 1.98
3 B 0.3750 0.4264 0.7500  2 P 1.98
4 B 0.1764 0.6250 0.2500  2 P 1.98
5 P 0.2500 0.7500 0.5000  4 B 1.98
6 P 0.5000 0.5000 0.0000  4 B 1.98
7 Sb 0.0000 0.0000 0.0000  4 B 2.28
8 Sb 0.7500 0.2500 0.5000  4 B 2.28

DFT (GGA-PBE) results for AlV3Sb after structural relaxation.

As for the uncorrected formation energy: 1.315 eV/atom. The calculation puts the energy above the lowest structure with this stoichiometry at 368 meV per atom. The crystal system is cubic. Its density of states at the Fermi level is 8.263 states/eV/cell.

Unit cell a=4.8989 b=4.8989 c=4.8989 alpha=90.00 beta=90.00 gamma=90.00
Last column: nearest neighbours and their distance in Å.
Fractional positions:
1 Al 0.5000 0.5000 0.5000  12 V 3.46
2 Sb 0.0000 0.0000 0.0000  6 V 2.45
3 V 0.0000 0.5000 0.0000  2 Sb 2.45
4 V 0.0000 0.0000 0.5000  2 Sb 2.45
5 V 0.5000 0.0000 0.0000  2 Sb 2.45